## HoSe (GGA-PBE)

Data for crystalline HoSe at its relaxed geometry.

Summary:
Raw total energy, eV/atom: -5.7512

Cell: 4.0411 4.0411 9.9361 Å, 90.00 90.00 120.00°
Space group P-3m1 (No. 164)
One atom of each set of equivalent atoms:
Ho: 0.0000 0.0000 0.0000
Ho: 0.3333 0.6667 0.6669
Se: 0.0000 0.0000 0.5000
Se: 0.3333 0.6667 0.1656

## HoSe (GGA-PBE)

Data for crystalline HoSe at its relaxed geometry.

Summary:
Raw total energy, eV/atom: -5.3412

Cell: 6.343 6.343 6.343 Å, 90.00 90.00 90.00°
Space group F-43m (No. 216)
One atom of each set of equivalent atoms:
Ho: 0.000 0.000 0.000
Se: 0.250 0.250 0.750

## HoSe (GGA-PBE)

Data for crystalline HoSe at its relaxed geometry.

Summary:
Raw total energy, eV/atom: -5.7511

Cell: 5.721 5.721 5.721 Å, 90.00 90.00 90.00°
Space group Fm-3m (No. 225)
One atom of each set of equivalent atoms:
Ho: 0.000 0.000 0.000
Se: 0.000 0.000 0.500

## Ho2Se3 (GGA-PBE)

Data for crystalline Ho2Se3 at its relaxed geometry.

Summary:
Raw total energy, eV/atom: -5.8091

Cell: 8.167 11.451 24.347 Å, 90.00 90.00 90.00°
Space group Fddd (No. 70, origin choice 2)
One atom of each set of equivalent atoms:
Ho: 0.125 0.125 0.041
Ho: 0.125 0.125 0.378
Se: 0.118 0.373 0.206
Se: 0.119 0.375 0.375

## Sm2HoSe3 (GGA-PBE)

Data for crystalline Sm2HoSe3 at its relaxed geometry.

Summary:
Raw total energy, eV/atom: -5.8647

Cell: 4.1151 4.1151 10.1553 Å, 90.00 90.00 120.00°
Space group P-3m1 (No. 164)
One atom of each set of equivalent atoms:
Sm: 0.3333 0.6667 0.1689
Ho: 0.0000 0.0000 0.5000
Se: 0.0000 0.0000 0.0000
Se: 0.3333 0.6667 0.6578

## Sm5HoSe6 (GGA-PBE)

Data for crystalline Sm5HoSe6 at its relaxed geometry.

Summary:
Raw total energy, eV/atom: -5.8909

Cell: 7.184 12.464 7.171 Å, 90.00 109.55 90.00°
Space group C2/m (No. 12)
One atom of each set of equivalent atoms:
Sm: 0.000 0.000 0.000
Sm: 0.000 0.168 0.500
Sm: 0.000 0.329 0.000
Ho: 0.000 0.500 0.500
Se: 0.243 0.500 0.251
Se: 0.245 0.337 0.745

## HoSn2Se3 (GGA-PBE)

Data for crystalline HoSn2Se3 at its relaxed geometry.

Summary:
Raw total energy, eV/atom: -4.7137

Cell: 4.0599 4.0599 11.6275 Å, 90.00 90.00 120.00°
Space group P-3m1 (No. 164)
One atom of each set of equivalent atoms:
Ho: 0.0000 0.0000 0.0000
Sn: 0.3333 0.6667 0.6610
Se: 0.0000 0.0000 0.5000
Se: 0.3333 0.6667 0.1396

## HoTlSnSe3 (GGA-PBE)

Data for crystalline HoTlSnSe3 at its relaxed geometry.

Summary:
Raw total energy, eV/atom: -4.5183

Cell: 4.103 16.019 11.517 Å, 90.00 90.00 90.00°
Space group Cmcm (No. 63)
One atom of each set of equivalent atoms:
Ho: 0.000 0.000 0.000
Tl: 0.000 0.303 0.250
Sn: 0.000 0.372 0.750
Se: 0.000 0.010 0.250
Se: 0.000 0.377 0.004

## SrHo2Se4 (GGA-PBE)

Data for crystalline SrHo2Se4 at its relaxed geometry.

Summary:
Raw total energy, eV/atom: -5.4805

Cell: 4.119 13.505 14.050 Å, 90.00 90.00 90.00°
Space group Cmcm (No. 63)
One atom of each set of equivalent atoms:
Sr: 0.000 0.112 0.250
Ho: 0.000 0.366 0.069
Se: 0.000 0.000 0.000
Se: 0.000 0.270 0.615
Se: 0.000 0.446 0.250

## SrHo2Se3 (GGA-PBE)

Data for crystalline SrHo2Se3 at its relaxed geometry.

Summary:
Raw total energy, eV/atom: -5.3757

Cell: 4.1658 4.1658 10.2225 Å, 90.00 90.00 120.00°
Space group P-3m1 (No. 164)
One atom of each set of equivalent atoms:
Sr: 0.0000 0.0000 0.0000
Ho: 0.3333 0.6667 0.6489
Se: 0.0000 0.0000 0.5000
Se: 0.3333 0.6667 0.1867

## Sr2HoSe3 (GGA-PBE)

Data for crystalline Sr2HoSe3 at its relaxed geometry.

Summary:
Raw total energy, eV/atom: -4.9930

Cell: 4.2617 4.2617 10.6542 Å, 90.00 90.00 120.00°
Space group P-3m1 (No. 164)
One atom of each set of equivalent atoms:
Sr: 0.3333 0.6667 0.1735
Ho: 0.0000 0.0000 0.5000
Se: 0.0000 0.0000 0.0000
Se: 0.3333 0.6667 0.6491

## SrHoZnSe3 (GGA-PBE)

Data for crystalline SrHoZnSe3 at its relaxed geometry.

Summary:
Raw total energy, eV/atom: -4.3724

Cell: 4.111 14.086 10.569 Å, 90.00 90.00 90.00°
Space group Cmcm (No. 63)
One atom of each set of equivalent atoms:
Sr: 0.000 0.240 0.250
Ho: 0.000 0.000 0.000
Zn: 0.000 0.476 0.750
Se: 0.000 0.084 0.750
Se: 0.000 0.362 0.567

## TbHoSe2 (GGA-PBE)

Data for crystalline TbHoSe2 at its relaxed geometry.

Summary:
Raw total energy, eV/atom: -5.7889

Cell: 4.064 4.064 5.752 Å, 90.00 90.00 90.00°
Space group P4/mmm (No. 123)
One atom of each set of equivalent atoms:
Tb: 0.000 0.000 0.000
Ho: 0.500 0.500 0.500
Se: 0.000 0.000 0.500
Se: 0.500 0.500 0.000

## Tb6HoSe8 (GGA-PBE)

Data for crystalline Tb6HoSe8 at its relaxed geometry.

Summary:
Raw total energy, eV/atom: -5.8638

Cell: 11.511 11.511 11.511 Å, 90.00 90.00 90.00°
Space group Fm-3m (No. 225)
One atom of each set of equivalent atoms:
Tb: 0.000 0.250 0.250
Ho: 0.000 0.000 0.000
Se: 0.000 0.000 0.252
Se: 0.250 0.250 0.250

## Ho3TeSe2 (GGA-PBE)

Data for crystalline Ho3TeSe2 at its relaxed geometry.

Summary:
Raw total energy, eV/atom: -5.5317

Cell: 4.1541 4.1541 10.0993 Å, 90.00 90.00 120.00°
Space group P-3m1 (No. 164)
One atom of each set of equivalent atoms:
Ho: 0.0000 0.0000 0.0000
Ho: 0.3333 0.6667 0.3069
Te: 0.0000 0.0000 0.5000
Se: 0.3333 0.6667 0.8431

## Ho3ThSe6 (GGA-PBE)

Data for crystalline Ho3ThSe6 at its relaxed geometry.

Summary:
Raw total energy, eV/atom: -6.0369

Cell: 11.552 4.079 11.856 Å, 90.00 108.53 90.00°
Space group P2_1/m (No. 11)
One atom of each set of equivalent atoms:
Ho: 0.067 0.250 0.165
Ho: 0.179 0.750 0.500
Ho: 0.341 0.250 0.919
Th: 0.453 0.250 0.303
Se: 0.018 0.250 0.383
Se: 0.106 0.250 0.938
Se: 0.242 0.750 0.274
Se: 0.306 0.750 0.748
Se: 0.383 0.250 0.533
Se: 0.417 0.750 0.096

## Ho2TlSe4 (GGA-PBE)

Data for crystalline Ho2TlSe4 at its relaxed geometry.

Summary:
Raw total energy, eV/atom: -5.0343

Cell: 12.012 12.012 12.012 Å, 90.00 90.00 90.00°
Space group Fd-3m (No. 227, origin choice 2)
One atom of each set of equivalent atoms:
Ho: 0.000 0.000 0.000
Tl: 0.125 0.125 0.625
Se: 0.013 0.013 0.237

## HoTlZnSe3 (GGA-PBE)

Data for crystalline HoTlZnSe3 at its relaxed geometry.

Summary:
Raw total energy, eV/atom: -4.0998

Cell: 17.344 4.179 9.129 Å, 90.00 103.83 90.00°
Space group C2/m (No. 12)
One atom of each set of equivalent atoms:
Ho: 0.172 0.000 0.088
Tl: 0.140 0.000 0.568
Zn: 0.010 0.500 0.217
Se: 0.000 0.000 0.000
Se: 0.000 0.500 0.500
Se: 0.160 0.500 0.291
Se: 0.160 0.500 0.867

## HoTlZnSe3 (GGA-PBE)

Data for crystalline HoTlZnSe3 at its relaxed geometry.

Summary:
Raw total energy, eV/atom: -4.2271

Cell: 8.363 4.114 10.615 Å, 90.00 109.37 90.00°
Space group P2_1/m (No. 11)
One atom of each set of equivalent atoms:
Ho: 0.189 0.250 0.139
Tl: 0.231 0.750 0.713
Zn: 0.424 0.750 0.391
Se: 0.049 0.250 0.859
Se: 0.276 0.250 0.439
Se: 0.435 0.750 0.163

## Ho4TmSe5 (GGA-PBE)

Data for crystalline Ho4TmSe5 at its relaxed geometry.

Summary:
Raw total energy, eV/atom: -5.7275

Cell: 4.031 4.031 28.668 Å, 90.00 90.00 90.00°
Space group I4/mmm (No. 139)
One atom of each set of equivalent atoms:
Ho: 0.000 0.000 0.102
Ho: 0.000 0.000 0.304
Tm: 0.000 0.000 0.500
Se: 0.000 0.000 0.000
Se: 0.000 0.000 0.202
Se: 0.000 0.000 0.402